No. 1
Below is a relaxed Na2YTeSe4 crystal, with properties calculated at the GGA-PBE level.

a b c (Å): 8.3012 8.3012 8.2964
angles (deg): 117.47 117.47 89.71
With the nearest neighbours (Å) after each atom.
Element x y z (fractional)
Na1 0.0000 0.0000 0.0000  4 Se 3.00-3.02
Na2 0.0000 0.0000 0.5000  4 Se 3.00-3.02
Na3 0.0000 0.5000 0.0000  6 Se 3.00-3.13
Na4 0.5000 0.0000 0.5000  6 Se 3.00-3.13
Y1 0.5000 0.5000 0.0000  6 Se 2.88-2.92
Y2 0.5000 0.5000 0.5000  6 Se 2.88-2.92
Te1 0.0000 0.5000 0.5000  4 Se 2.76-2.83
Te2 0.5000 0.0000 0.0000  4 Se 2.76-2.83
Se1 0.2285 0.7181 0.4760  1 Te 2.76, 1 Y 2.88, 2 Na 3.00
Se2 0.2633 0.2811 0.5368  1 Te 2.83, 2 Y 2.89-2.92, 2 Na 3.02-3.04
Se3 0.2811 0.2633 0.0368  1 Te 2.83, 2 Y 2.89-2.92, 2 Na 3.02-3.04
Se4 0.2819 0.7715 0.0240  1 Te 2.76, 1 Y 2.88, 2 Na 3.00
Se5 0.7181 0.2285 0.9760  1 Te 2.76, 1 Y 2.88, 2 Na 3.00
Se6 0.7189 0.7367 0.9632  1 Te 2.83, 2 Y 2.89-2.92, 2 Na 3.02-3.04
Se7 0.7367 0.7189 0.4632  1 Te 2.83, 2 Y 2.89-2.92, 2 Na 3.02-3.04
Se8 0.7715 0.2819 0.5240  1 Te 2.76, 1 Y 2.88, 2 Na 3.00

Calculated values
M_tot ... 0.000 μB/atom
D(E_F) ... 1.3 states/eV/f.u.
Energy relative to the elements, uncorrected ... -23.6 kcal/mol of atoms



No. 2
Below is a relaxed NaZrTeSe crystal, with properties calculated at the GGA-PBE level.

a b c (Å): 3.8931 3.8931 23.4490
angles (deg): 90.00 90.00 120.00
With the nearest neighbours (Å) after each atom.
Element x y z (fractional)
Na1 0.0000 0.0000 0.0000  3 Se 3.00, 3 Te 3.21
Na2 0.3333 0.6667 0.6667  3 Se 3.00, 3 Te 3.21
Na3 0.6667 0.3333 0.3333  3 Se 3.00, 3 Te 3.21
Zr1 0.0000 0.0000 0.1549  3 Se 2.78, 3 Te 2.94
Zr2 0.3333 0.6667 0.8215  3 Se 2.78, 3 Te 2.94
Zr3 0.6667 0.3333 0.4882  3 Se 2.78, 3 Te 2.94
Te1 0.0000 0.0000 0.5688  3 Zr 2.94, 3 Na 3.21
Te2 0.3333 0.6667 0.2355  3 Zr 2.94, 3 Na 3.21
Te3 0.6667 0.3333 0.9022  3 Zr 2.94, 3 Na 3.21
Se1 0.0000 0.0000 0.4182  3 Zr 2.78, 3 Na 3.00
Se2 0.3333 0.6667 0.0849  3 Zr 2.78, 3 Na 3.00
Se3 0.6667 0.3333 0.7515  3 Zr 2.78, 3 Na 3.00

Calculated values
M_tot ... 0.203 μB/atom
D(E_F) ... 1.3 states/eV/f.u.
Energy relative to the elements, uncorrected ... -25.5 kcal/mol of atoms